First-principles (PBE) data for a relaxed MnIrRuW crystal, as listed in Alexandria.

Summary:
- Total moment: 4.5 μB/f.u.
- Crystal system: cubic
- Formation energy from the elements: 0.1 eV per formula unit
- Fermi-level density of states: 0.93 states/eV per atom

Lattice parameters (Å, degrees): 4.3703 4.3703 4.3703 60.00 60.00 60.00
Last column: nearest neighbours and their distance in Å.
Sites, in units of the cell vectors:
Mn  0.0000  0.0000  0.0000  4 Ir 2.68, 4 Ru 2.68
Ir  0.7500  0.7500  0.7500  4 Mn 2.68, 4 W 2.68
Ru  0.2500  0.2500  0.2500  4 Mn 2.68, 4 W 2.68
W  0.5000  0.5000  0.5000  4 Ir 2.68, 4 Ru 2.68

First-principles (PBE) data for a relaxed MnIr5RuW2 crystal, as listed in Alexandria.

Summary:
- Total moment: 4.3 μB/f.u.
- Crystal system: tetragonal
- Formation energy from the elements: 5.1 eV per formula unit
- Fermi-level density of states: 0.85 states/eV per atom

Lattice parameters (Å, degrees): 7.5861 7.5861 7.5861 121.32 121.32 87.72
Last column: nearest neighbours and their distance in Å.
Sites, in units of the cell vectors:
Mn  0.2500  0.2500  0.0000  10 Ir 2.73-3.02
Mn  0.7500  0.7500  0.0000  10 Ir 2.73-3.02
Ir  0.0000  0.0000  0.0000  2 Mn 2.73, 4 W 2.99, 8 Ir 3.03
Ir  0.0664  0.5664  0.8836  1 Ru 2.43, 3 W 2.46-2.72
Ir  0.1828  0.0664  0.5000  1 Ru 2.43, 3 W 2.46-2.72
Ir  0.3172  0.8172  0.8836  1 Ru 2.43, 3 W 2.46-2.72
Ir  0.4336  0.3172  0.5000  1 Ru 2.43, 3 W 2.46-2.72
Ir  0.5000  0.5000  0.0000  2 Mn 2.73, 4 W 2.99, 8 Ir 3.03
Ir  0.5664  0.6828  0.5000  1 Ru 2.43, 3 W 2.46-2.72
Ir  0.6828  0.1828  0.1164  1 Ru 2.43, 3 W 2.46-2.72
Ir  0.8172  0.9336  0.5000  1 Ru 2.43, 3 W 2.46-2.72
Ir  0.9336  0.4336  0.1164  1 Ru 2.43, 3 W 2.46-2.72
Ru  0.2500  0.7500  0.5000  4 Ir 2.43
Ru  0.7500  0.2500  0.5000  4 Ir 2.43
W  0.1144  0.3856  0.5000  1 W 2.41, 2 Ir 2.46
W  0.3856  0.8856  0.2712  1 W 2.41, 2 Ir 2.46
W  0.6144  0.1144  0.7288  1 W 2.41, 2 Ir 2.46
W  0.8856  0.6144  0.5000  1 W 2.41, 2 Ir 2.46

First-principles (PBE) data for a relaxed YMn2IrRu crystal, as listed in Alexandria.

Summary:
- Total moment: 0.2 μB/f.u.
- Crystal system: tetragonal
- Formation energy from the elements: 4.7 eV per formula unit
- Fermi-level density of states: 2.10 states/eV per atom

Lattice parameters (Å, degrees): 4.4839 4.4839 4.8064 90.00 90.00 90.00
Last column: nearest neighbours and their distance in Å.
Sites, in units of the cell vectors:
Y  0.0000  0.0000  0.0000  4 Ru 3.17, 8 Mn 3.29
Mn  0.0000  0.5000  0.5000  2 Ir 2.24
Mn  0.5000  0.0000  0.5000  2 Ir 2.24
Ir  0.5000  0.5000  0.5000  4 Mn 2.24, 2 Ru 2.40
Ru  0.5000  0.5000  0.0000  2 Ir 2.40